1.
The following is a SCAN calculation of a PBEsol-optimized structure of HfBr2F, from Alexandria via LeMat-Bulk.

Cell: 3.569 3.569 8.651 Å, 78.10 78.10 60.00°
Sites, in units of the cell vectors:
Hf 0.000 0.000 0.000
Br 0.904 0.904 0.287
Br 0.096 0.096 0.713
F 0.500 0.500 0.500

Computed properties:
Its raw total energy is -26.644 eV per atom. The value obtained for the spin magnetization is 0.68 μB/cell. Its energy relative to the elements, uncorrected is -0.3608 eV/atom.

***

2.
The following is a SCAN calculation of a PBEsol-optimized structure of HfPb2BrF, from Alexandria via LeMat-Bulk.

Cell: 3.972 5.706 5.706 Å, 90.00 90.00 90.00°
Sites, in units of the cell vectors:
Pb 0.000 0.000 0.500
Pb 0.000 0.500 0.000
Hf 0.500 0.000 0.000
Br 0.500 0.500 0.500
F 0.000 0.000 0.000

Computed properties:
Its raw total energy is -47.888 eV per atom. The value obtained for the spin magnetization is 0.00 μB/cell. Its energy relative to the elements, uncorrected is -0.4415 eV/atom.

***

3.
The following is a SCAN calculation of a PBEsol-optimized structure of HfPtBr2F, from Alexandria via LeMat-Bulk.

Cell: 3.905 5.023 5.023 Å, 90.00 90.00 90.00°
Sites, in units of the cell vectors:
Hf 0.500 0.000 0.000
Br 0.000 0.000 0.500
Br 0.000 0.500 0.000
Pt 0.500 0.500 0.500
F 0.000 0.000 0.000

Computed properties:
Its raw total energy is -35.307 eV per atom. The value obtained for the spin magnetization is 0.00 μB/cell. Its energy relative to the elements, uncorrected is -0.2417 eV/atom.

***

4.
The following is a SCAN calculation of a PBEsol-optimized structure of HfSe2BrF, from Alexandria via LeMat-Bulk.

Cell: 5.070 5.070 5.129 Å, 90.00 90.00 90.00°
Sites, in units of the cell vectors:
Hf 0.000 0.000 0.000
Se 0.000 0.500 0.000
Se 0.500 0.000 0.000
Br 0.000 0.000 0.500
F 0.500 0.500 0.500

Computed properties:
Its raw total energy is -25.812 eV per atom. The value obtained for the spin magnetization is 1.74 μB/cell. Its energy relative to the elements, uncorrected is -0.6458 eV/atom.

***

5.
The following is a SCAN calculation of a PBEsol-optimized structure of HfTiBrF2, from Alexandria via LeMat-Bulk.

Cell: 3.867 3.867 5.754 Å, 90.00 90.00 90.00°
Sites, in units of the cell vectors:
F 0.000 0.500 0.000
F 0.500 0.000 0.000
Hf 0.000 0.000 0.500
Br 0.500 0.500 0.500
Ti 0.000 0.000 0.000

Computed properties:
Its raw total energy is -22.695 eV per atom. The value obtained for the spin magnetization is 1.67 μB/cell. Its energy relative to the elements, uncorrected is -1.6462 eV/atom.

***

6.
The following is a SCAN calculation of a PBEsol-optimized structure of HgBr2F, from Alexandria via LeMat-Bulk.

Cell: 3.906 3.906 8.463 Å, 76.66 76.66 60.00°
Sites, in units of the cell vectors:
Hg 0.000 0.000 0.000
Br 0.902 0.902 0.294
Br 0.098 0.098 0.706
F 0.500 0.500 0.500

Computed properties:
Its raw total energy is -27.750 eV per atom. The value obtained for the spin magnetization is 1.01 μB/cell. Its energy relative to the elements, uncorrected is -0.0938 eV/atom.

***

7.
The following is a SCAN calculation of a PBEsol-optimized structure of IrBrF2, from Alexandria via LeMat-Bulk.

Cell: 3.941 3.941 7.938 Å, 104.37 104.37 90.00°
Sites, in units of the cell vectors:
Ir 0.250 0.750 0.500
Ir 0.000 0.000 0.000
Br 0.750 0.250 0.500
Br 0.500 0.500 0.000
F 0.245 0.875 0.250
F 0.005 0.375 0.250
F 0.125 0.995 0.750
F 0.625 0.755 0.750

Computed properties:
Its raw total energy is -24.359 eV per atom. The value obtained for the spin magnetization is 0.00 μB/cell. Its energy relative to the elements, uncorrected is 0.0504 eV/atom.

***

8.
The following is a SCAN calculation of a PBEsol-optimized structure of Ir2BrF, from Alexandria via LeMat-Bulk.

Cell: 4.265 4.265 4.265 Å, 60.00 60.00 60.00°
Sites, in units of the cell vectors:
Ir 0.250 0.250 0.250
Ir 0.750 0.750 0.750
Br 0.500 0.500 0.500
F 0.000 0.000 0.000

Computed properties:
Its raw total energy is -40.237 eV per atom. The value obtained for the spin magnetization is 0.00 μB/cell. Its energy relative to the elements, uncorrected is 1.0623 eV/atom.

***

9.
The following is a SCAN calculation of a PBEsol-optimized structure of IrBrF3, from Alexandria via LeMat-Bulk.

Cell: 4.392 4.392 4.392 Å, 90.00 90.00 90.00°
Sites, in units of the cell vectors:
Ir 0.500 0.500 0.500
Br 0.000 0.000 0.000
F 0.000 0.500 0.000
F 0.000 0.000 0.500
F 0.500 0.000 0.000

Computed properties:
Its raw total energy is -19.453 eV per atom. The value obtained for the spin magnetization is 3.95 μB/cell. Its energy relative to the elements, uncorrected is 0.7823 eV/atom.

***

10.
The following is a SCAN calculation of a PBEsol-optimized structure of MgIrBr2F, from Alexandria via LeMat-Bulk.

Cell: 3.526 5.086 5.086 Å, 90.00 90.00 90.00°
Sites, in units of the cell vectors:
Mg 0.000 0.000 0.000
Ir 0.500 0.500 0.500
Br 0.000 0.000 0.500
Br 0.000 0.500 0.000
F 0.500 0.000 0.000

Computed properties:
Its raw total energy is -24.299 eV per atom. The value obtained for the spin magnetization is 2.11 μB/cell. Its energy relative to the elements, uncorrected is -0.5930 eV/atom.

***

11.
The following is a SCAN calculation of a PBEsol-optimized structure of IrSe2BrF, from Alexandria via LeMat-Bulk.

Cell: 4.206 4.206 5.263 Å, 90.00 90.00 90.00°
Sites, in units of the cell vectors:
Ir 0.500 0.500 0.500
Se 0.000 0.500 0.000
Se 0.500 0.000 0.000
Br 0.000 0.000 0.500
F 0.000 0.000 0.000

Computed properties:
Its raw total energy is -25.680 eV per atom. The value obtained for the spin magnetization is 3.10 μB/cell. Its energy relative to the elements, uncorrected is 1.1716 eV/atom.

***

12.
The following is a SCAN calculation of a PBEsol-optimized structure of KBrF4, from Alexandria via LeMat-Bulk.

Cell: 6.160 7.046 6.160 Å, 64.08 90.00 115.92°
Sites, in units of the cell vectors:
Br 0.000 0.000 0.500
Br 0.500 0.000 0.000
F 0.722 0.755 0.778
F 0.033 0.755 0.467
F 0.222 0.755 0.967
F 0.533 0.755 0.278
F 0.467 0.245 0.722
F 0.778 0.245 0.033
F 0.967 0.245 0.533
F 0.278 0.245 0.222
K 0.250 0.500 0.750
K 0.750 0.500 0.250

Computed properties:
Its raw total energy is -8.734 eV per atom. The value obtained for the spin magnetization is 0.00 μB/cell. Its energy relative to the elements, uncorrected is -1.7425 eV/atom.

***

13.
The following is a SCAN calculation of a PBEsol-optimized structure of KBrF2, from Alexandria via LeMat-Bulk.

Cell: 4.267 4.267 6.489 Å, 70.80 70.80 60.00°
Sites, in units of the cell vectors:
K 0.500 0.500 0.500
Br 0.000 0.000 0.000
F 0.890 0.890 0.330
F 0.110 0.110 0.670

Computed properties:
Its raw total energy is -10.580 eV per atom. The value obtained for the spin magnetization is 0.00 μB/cell. Its energy relative to the elements, uncorrected is -1.8630 eV/atom.

***

14.
The following is a SCAN calculation of a PBEsol-optimized structure of K2BrF, from Alexandria via LeMat-Bulk.

Cell: 6.746 6.746 6.746 Å, 102.58 113.02 113.02°
Sites, in units of the cell vectors:
K 0.926 0.551 0.125
K 0.074 0.199 0.625
K 0.574 0.375 0.449
K 0.426 0.875 0.801
Br 0.000 0.000 0.000
Br 0.500 0.750 0.250
F 0.000 0.500 0.500
F 0.500 0.250 0.750

Computed properties:
Its raw total energy is -12.249 eV per atom. The value obtained for the spin magnetization is 0.00 μB/cell. Its energy relative to the elements, uncorrected is -2.3351 eV/atom.

***

15.
The following is a SCAN calculation of a PBEsol-optimized structure of KTcBrF2, from Alexandria via LeMat-Bulk.

Cell: 4.776 4.776 5.714 Å, 90.00 90.00 90.00°
Sites, in units of the cell vectors:
K 0.000 0.000 0.500
Tc 0.500 0.500 0.500
Br 0.000 0.000 0.000
F 0.000 0.500 0.000
F 0.500 0.000 0.000

Computed properties:
Its raw total energy is -13.636 eV per atom. The value obtained for the spin magnetization is 5.28 μB/cell. Its energy relative to the elements, uncorrected is 0.3495 eV/atom.

***

16.
The following is a SCAN calculation of a PBEsol-optimized structure of LaBr2F, from Alexandria via LeMat-Bulk.

Cell: 4.962 4.962 4.962 Å, 60.00 60.00 60.00°
Sites, in units of the cell vectors:
F 0.000 0.000 0.000
Br 0.250 0.250 0.250
Br 0.750 0.750 0.750
La 0.500 0.500 0.500

Computed properties:
Its raw total energy is -23.805 eV per atom. The value obtained for the spin magnetization is 0.10 μB/cell. Its energy relative to the elements, uncorrected is -2.4142 eV/atom.

***

17.
The following is a SCAN calculation of a PBEsol-optimized structure of LaBrO2F, from Alexandria via LeMat-Bulk.

Cell: 4.528 4.687 4.687 Å, 90.00 90.00 90.00°
Sites, in units of the cell vectors:
F 0.500 0.000 0.000
O 0.000 0.000 0.500
O 0.000 0.500 0.000
Br 0.500 0.500 0.500
La 0.000 0.000 0.000

Computed properties:
Its raw total energy is -17.418 eV per atom. The value obtained for the spin magnetization is 3.00 μB/cell. Its energy relative to the elements, uncorrected is -1.7043 eV/atom.

***

18.
The following is a SCAN calculation of a PBEsol-optimized structure of LaZn2BrF, from Alexandria via LeMat-Bulk.

Cell: 4.769 4.769 5.265 Å, 90.00 90.00 90.00°
Sites, in units of the cell vectors:
Zn 0.000 0.500 0.000
Zn 0.500 0.000 0.000
F 0.000 0.000 0.500
Br 0.000 0.000 0.000
La 0.500 0.500 0.500

Computed properties:
Its raw total energy is -18.837 eV per atom. The value obtained for the spin magnetization is 0.02 μB/cell. Its energy relative to the elements, uncorrected is -0.2104 eV/atom.

***

19.
The following is a SCAN calculation of a PBEsol-optimized structure of Li2MgBrF, from Alexandria via LeMat-Bulk.

Cell: 4.104 4.806 4.806 Å, 90.00 90.00 90.00°
Sites, in units of the cell vectors:
Mg 0.500 0.000 0.000
Li 0.000 0.000 0.500
Li 0.000 0.500 0.000
Br 0.500 0.500 0.500
F 0.000 0.000 0.000

Computed properties:
Its raw total energy is -7.777 eV per atom. The value obtained for the spin magnetization is 0.00 μB/cell. Its energy relative to the elements, uncorrected is -1.2263 eV/atom.

***

20.
The following is a SCAN calculation of a PBEsol-optimized structure of MgBrN2F, from Alexandria via LeMat-Bulk.

Cell: 3.685 4.306 4.306 Å, 90.00 90.00 90.00°
Sites, in units of the cell vectors:
Mg 0.000 0.000 0.000
N 0.000 0.000 0.500
N 0.000 0.500 0.000
Br 0.500 0.500 0.500
F 0.500 0.000 0.000

Computed properties:
Its raw total energy is -8.812 eV per atom. The value obtained for the spin magnetization is 3.50 μB/cell. Its energy relative to the elements, uncorrected is 0.4988 eV/atom.

***

21.
The following is a SCAN calculation of a PBEsol-optimized structure of MnBr3F, from Alexandria via LeMat-Bulk.

Cell: 4.883 4.883 4.883 Å, 90.00 90.00 90.00°
Sites, in units of the cell vectors:
Mn 0.000 0.000 0.000
Br 0.000 0.500 0.000
Br 0.000 0.000 0.500
Br 0.500 0.000 0.000
F 0.500 0.500 0.500

Computed properties:
Its raw total energy is -16.459 eV per atom. The value obtained for the spin magnetization is 4.98 μB/cell. Its energy relative to the elements, uncorrected is -0.4248 eV/atom.

***

22.
The following is a SCAN calculation of a PBEsol-optimized structure of MnBrO2F, from Alexandria via LeMat-Bulk.

Cell: 3.794 3.794 5.130 Å, 90.00 90.00 90.00°
Sites, in units of the cell vectors:
Mn 0.500 0.500 0.500
O 0.000 0.500 0.000
O 0.500 0.000 0.000
Br 0.000 0.000 0.000
F 0.000 0.000 0.500

Computed properties:
Its raw total energy is -10.824 eV per atom. The value obtained for the spin magnetization is 5.20 μB/cell. Its energy relative to the elements, uncorrected is -0.0807 eV/atom.

***

23.
The following is a SCAN calculation of a PBEsol-optimized structure of MnBrOF2, from Alexandria via LeMat-Bulk.

Cell: 3.753 4.046 4.046 Å, 90.00 90.00 90.00°
Sites, in units of the cell vectors:
Mn 0.000 0.000 0.000
O 0.500 0.000 0.000
Br 0.500 0.500 0.500
F 0.000 0.000 0.500
F 0.000 0.500 0.000

Computed properties:
Its raw total energy is -11.549 eV per atom. The value obtained for the spin magnetization is 2.00 μB/cell. Its energy relative to the elements, uncorrected is -1.3440 eV/atom.

***

24.
The following is a SCAN calculation of a PBEsol-optimized structure of MnPdBrF2, from Alexandria via LeMat-Bulk.

Cell: 4.353 4.353 4.817 Å, 90.00 90.00 90.00°
Sites, in units of the cell vectors:
Mn 0.500 0.500 0.500
Br 0.000 0.000 0.000
Pd 0.000 0.000 0.500
F 0.000 0.500 0.000
F 0.500 0.000 0.000

Computed properties:
Its raw total energy is -15.618 eV per atom. The value obtained for the spin magnetization is 5.48 μB/cell. Its energy relative to the elements, uncorrected is -0.1038 eV/atom.

***

25.
The following is a SCAN calculation of a PBEsol-optimized structure of MoBrF3, from Alexandria via LeMat-Bulk.

Cell: 4.480 4.480 4.480 Å, 90.00 90.00 90.00°
Sites, in units of the cell vectors:
Mo 0.500 0.500 0.500
Br 0.000 0.000 0.000
F 0.000 0.500 0.000
F 0.000 0.000 0.500
F 0.500 0.000 0.000

Computed properties:
Its raw total energy is -12.800 eV per atom. The value obtained for the spin magnetization is 4.53 μB/cell. Its energy relative to the elements, uncorrected is 0.1926 eV/atom.

***

26.
The following is a SCAN calculation of a PBEsol-optimized structure of MoBr2NF, from Alexandria via LeMat-Bulk.

Cell: 3.336 5.211 5.211 Å, 90.00 90.00 90.00°
Sites, in units of the cell vectors:
Mo 0.500 0.500 0.500
N 0.500 0.000 0.000
Br 0.000 0.000 0.500
Br 0.000 0.500 0.000
F 0.000 0.000 0.000

Computed properties:
Its raw total energy is -16.041 eV per atom. The value obtained for the spin magnetization is 5.91 μB/cell. Its energy relative to the elements, uncorrected is 1.2863 eV/atom.

***

27.
The following is a SCAN calculation of a PBEsol-optimized structure of MoBrN2F, from Alexandria via LeMat-Bulk.

Cell: 3.994 3.994 4.022 Å, 90.00 90.00 90.00°
Sites, in units of the cell vectors:
Mo 0.500 0.500 0.500
N 0.000 0.500 0.000
N 0.500 0.000 0.000
Br 0.000 0.000 0.000
F 0.000 0.000 0.500

Computed properties:
Its raw total energy is -13.418 eV per atom. The value obtained for the spin magnetization is 3.33 μB/cell. Its energy relative to the elements, uncorrected is 1.8750 eV/atom.

***

28.
The following is a SCAN calculation of a PBEsol-optimized structure of MoP2BrF, from Alexandria via LeMat-Bulk.

Cell: 3.877 4.783 4.783 Å, 90.00 90.00 90.00°
Sites, in units of the cell vectors:
P 0.000 0.000 0.500
P 0.000 0.500 0.000
Mo 0.500 0.000 0.000
Br 0.500 0.500 0.500
F 0.000 0.000 0.000

Computed properties:
Its raw total energy is -14.706 eV per atom. The value obtained for the spin magnetization is 2.17 μB/cell. Its energy relative to the elements, uncorrected is 1.0305 eV/atom.